Version one
# InReI3

InReI3 after structural relaxation (PBE-GGA, Alexandria via LeMat-Bulk).

Results
**Total magnetic moment**: 5.80 μB per cell

Lattice parameters (Å, degrees): 5.980 5.980 5.980 90.00 90.00 90.00
Positions (direct):
In 0.000 0.000 0.000
Re 0.500 0.500 0.500
I 0.000 0.000 0.500
I 0.000 0.500 0.000
I 0.500 0.000 0.000

***

Version two
# InReI3

InReI3 after structural relaxation (PBE-GGA, Alexandria via LeMat-Bulk).

Results
**Total magnetic moment**: 3.12 μB per cell

Lattice parameters (Å, degrees): 5.610 5.610 5.610 90.00 90.00 90.00
Positions (direct):
In 0.000 0.000 0.000
Re 0.500 0.500 0.500
I 0.000 0.500 0.500
I 0.500 0.000 0.500
I 0.500 0.500 0.000

***

Which structure is most stable? version two, by 615 meV per atom over the runner-up.

***

Version one
# InReSbI2

InReSbI2 after structural relaxation (PBE-GGA, Alexandria via LeMat-Bulk).

Results
**Total magnetic moment**: 1.31 μB per cell

Lattice parameters (Å, degrees): 5.745 5.745 5.112 90.00 90.00 90.00
Positions (direct):
In 0.000 0.000 0.000
Re 0.500 0.500 0.500
Sb 0.500 0.500 0.000
I 0.000 0.500 0.500
I 0.500 0.000 0.500

***

Version two
# InReSbI2

InReSbI2 after structural relaxation (PBE-GGA, Alexandria via LeMat-Bulk).

Results
**Total magnetic moment**: 4.32 μB per cell

Lattice parameters (Å, degrees): 5.842 5.842 5.835 90.00 90.00 90.00
Positions (direct):
In 0.000 0.000 0.000
Re 0.500 0.500 0.500
Sb 0.000 0.000 0.500
I 0.000 0.500 0.000
I 0.500 0.000 0.000

***

Which structure is most stable? version one, by 860 meV per atom over the runner-up.

***

Version one
# InTe2RuI

InTe2RuI after structural relaxation (PBE-GGA, Alexandria via LeMat-Bulk).

Results
**Total magnetic moment**: 0.00 μB per cell

Lattice parameters (Å, degrees): 5.189 5.189 5.860 90.00 90.00 90.00
Positions (direct):
In 0.000 0.000 0.000
Te 0.000 0.500 0.500
Te 0.500 0.000 0.500
Ru 0.500 0.500 0.500
I 0.500 0.500 0.000

***

Version two
# InTe2RuI

InTe2RuI after structural relaxation (PBE-GGA, Alexandria via LeMat-Bulk).

Results
**Total magnetic moment**: 3.85 μB per cell

Lattice parameters (Å, degrees): 5.658 5.658 5.814 90.00 90.00 90.00
Positions (direct):
In 0.000 0.000 0.000
Te 0.000 0.500 0.000
Te 0.500 0.000 0.000
Ru 0.500 0.500 0.500
I 0.000 0.000 0.500

***

Which structure is most stable? version one, by 929 meV per atom over the runner-up.

***

Version one
# InSI3

InSI3 after structural relaxation (PBE-GGA, Alexandria via LeMat-Bulk).

Results
**Total magnetic moment**: 0.00 μB per cell

Lattice parameters (Å, degrees): 5.654 5.654 5.654 90.00 90.00 90.00
Positions (direct):
In 0.000 0.000 0.000
S 0.500 0.500 0.500
I 0.000 0.500 0.500
I 0.500 0.000 0.500
I 0.500 0.500 0.000

***

Version two
# InSI3

InSI3 after structural relaxation (PBE-GGA, Alexandria via LeMat-Bulk).

Results
**Total magnetic moment**: 2.34 μB per cell

Lattice parameters (Å, degrees): 5.922 5.922 5.922 90.00 90.00 90.00
Positions (direct):
In 0.000 0.000 0.000
S 0.500 0.500 0.500
I 0.000 0.000 0.500
I 0.000 0.500 0.000
I 0.500 0.000 0.000

***

Which structure is most stable? version one, by 348 meV per atom over the runner-up.

***

Version one
# In2S2I

In2S2I after structural relaxation (PBE-GGA, Alexandria via LeMat-Bulk).

Results
**Total magnetic moment**: 0.00 μB per cell

Lattice parameters (Å, degrees): 7.915 7.915 7.915 112.65 112.65 103.29
Positions (direct):
In 0.304 0.000 0.304
In 0.696 0.000 0.696
In 0.750 0.554 0.804
In 0.750 0.946 0.196
S 0.500 0.219 0.719
S 0.500 0.782 0.281
S 0.532 0.750 0.781
S 0.969 0.750 0.219
I 0.127 0.127 0.000
I 0.877 0.377 0.500

***

Version two
# In2S2I

In2S2I after structural relaxation (PBE-GGA, Alexandria via LeMat-Bulk).

Results
**Total magnetic moment**: 0.00 μB per cell

Lattice parameters (Å, degrees): 9.051 9.051 9.051 154.64 154.64 36.17
Positions (direct):
In 0.169 0.169 0.000
In 0.831 0.831 0.000
S 0.323 0.323 0.000
S 0.677 0.677 0.000
I 0.000 0.000 0.000

***

Which structure is most stable? version two, by 48 meV per atom over the runner-up.

***

Version one
# In2SI

In2SI after structural relaxation (PBE-GGA, Alexandria via LeMat-Bulk).

Results
**Total magnetic moment**: 0.00 μB per cell

Lattice parameters (Å, degrees): 4.415 5.383 11.282 89.88 89.94 90.00
Positions (direct):
In 0.250 0.249 0.348
In 0.250 0.750 0.067
In 0.750 0.250 0.933
In 0.750 0.751 0.652
S 0.250 0.250 0.088
S 0.750 0.750 0.912
I 0.250 0.251 0.689
I 0.750 0.749 0.311

***

Version two
# In2SI

In2SI after structural relaxation (PBE-GGA, Alexandria via LeMat-Bulk).

Results
**Total magnetic moment**: 0.00 μB per cell

Lattice parameters (Å, degrees): 7.043 7.043 7.043 111.12 111.12 106.21
Positions (direct):
In 0.070 0.625 0.945
In 0.375 0.320 0.445
In 0.680 0.125 0.055
In 0.875 0.930 0.555
S 0.000 0.000 0.000
S 0.750 0.250 0.500
I 0.250 0.750 0.500
I 0.500 0.500 0.000

***

Version three
# In2SI

In2SI after structural relaxation (PBE-GGA, Alexandria via LeMat-Bulk).

Results
**Total magnetic moment**: 0.00 μB per cell

Lattice parameters (Å, degrees): 8.391 8.391 8.391 28.86 28.86 28.86
Positions (direct):
In 0.000 0.000 0.000
In 0.198 0.198 0.198
S 0.605 0.605 0.605
I 0.426 0.426 0.426

***

Version four
# In2SI

In2SI after structural relaxation (PBE-GGA, Alexandria via LeMat-Bulk).

Results
**Total magnetic moment**: 0.00 μB per cell

Lattice parameters (Å, degrees): 5.411 5.411 5.411 60.00 60.00 60.00
Positions (direct):
In 0.250 0.250 0.250
In 0.750 0.750 0.750
S 0.000 0.000 0.000
I 0.500 0.500 0.500

***

Which structure is most stable? version one, by 69 meV per atom over the runner-up.